# 1
# CaRuPb2 (PBE, optimized geometry)
data_CaRuPb2
_cell_length_a 3.343
_cell_length_b 4.497
_cell_length_c 13.729
_cell_angle_alpha 90.00
_cell_angle_beta 90.00
_cell_angle_gamma 90.00
_symmetry_space_group_name_H-M 'I m m 2'
_symmetry_Int_Tables_number 44
loop_
_symmetry_equiv_pos_as_xyz
'x,y,z'
'-x,-y,z'
'-x,y,z'
'x,-y,z'
'x+1/2,y+1/2,z+1/2'
'-x+1/2,-y+1/2,z+1/2'
'-x+1/2,y+1/2,z+1/2'
'x+1/2,-y+1/2,z+1/2'
loop_
_atom_site_label
_atom_site_fract_x
_atom_site_fract_y
_atom_site_fract_z
_atom_site_occupancy
Ca1 0.000 0.000 0.000 1
Ru1 0.000 0.500 0.690 1
Pb1 0.000 0.000 0.363 1
Pb2 0.000 0.500 0.183 1
# E_tot = -36.739 eV per cell
# calculated volume = 206.4 Å³/cell


# 2
# CaRuPb2 (PBE, optimized geometry)
data_CaRuPb2
_cell_length_a 3.516
_cell_length_b 3.516
_cell_length_c 7.657
_cell_angle_alpha 90.00
_cell_angle_beta 90.00
_cell_angle_gamma 90.00
_symmetry_space_group_name_H-M 'P 4/m m m'
_symmetry_Int_Tables_number 123
_symmetry_space_group_name_Hall '-P 4 2'
loop_
_atom_site_label
_atom_site_fract_x
_atom_site_fract_y
_atom_site_fract_z
_atom_site_occupancy
Ca1 0.000 0.000 0.000 1
Ru1 0.000 0.000 0.500 1
Pb1 0.500 0.500 0.294 1
# E_tot = -18.606 eV per cell
# calculated volume = 94.6 Å³/cell


# 3
# CaRuPb (PBE, optimized geometry)
data_CaRuPb
_cell_length_a 6.674
_cell_length_b 6.674
_cell_length_c 6.674
_cell_angle_alpha 90.00
_cell_angle_beta 90.00
_cell_angle_gamma 90.00
_symmetry_space_group_name_H-M 'F -4 3 m'
_symmetry_Int_Tables_number 216
_symmetry_space_group_name_Hall 'F -4 2 3'
loop_
_atom_site_label
_atom_site_fract_x
_atom_site_fract_y
_atom_site_fract_z
_atom_site_occupancy
Ca1 0.000 0.000 0.000 1
Ru1 0.250 0.250 0.750 1
Pb1 0.000 0.000 0.500 1
# E_tot = -58.339 eV per cell
# calculated volume = 297.2 Å³/cell


# 4
# CaRuPb (PBE, optimized geometry)
data_CaRuPb
_cell_length_a 4.7139
_cell_length_b 4.7139
_cell_length_c 3.6736
_cell_angle_alpha 90.00
_cell_angle_beta 90.00
_cell_angle_gamma 120.00
_symmetry_space_group_name_H-M 'P -6 m 2'
_symmetry_Int_Tables_number 187
_symmetry_space_group_name_Hall 'P -6 2'
loop_
_atom_site_label
_atom_site_fract_x
_atom_site_fract_y
_atom_site_fract_z
_atom_site_occupancy
Ca1 0.0000 0.0000 0.0000 1
Ru1 0.3333 0.6667 0.5000 1
Pb1 0.6667 0.3333 0.5000 1
# E_tot = -14.709 eV per cell
# calculated volume = 70.7 Å³/cell


# 5
# CaRuPb (PBE, optimized geometry)
data_CaRuPb
_cell_length_a 3.508
_cell_length_b 3.508
_cell_length_c 10.966
_cell_angle_alpha 90.00
_cell_angle_beta 90.00
_cell_angle_gamma 90.00
_symmetry_space_group_name_H-M 'I 4 m m'
_symmetry_Int_Tables_number 107
_symmetry_space_group_name_Hall 'I 4 -2'
loop_
_atom_site_label
_atom_site_fract_x
_atom_site_fract_y
_atom_site_fract_z
_atom_site_occupancy
Ca1 0.000 0.000 0.000 1
Ru1 0.000 0.000 0.669 1
Pb1 0.000 0.000 0.292 1
# E_tot = -29.911 eV per cell
# calculated volume = 135.0 Å³/cell


# 6
# CaRuPb2 (PBE, optimized geometry)
data_CaRuPb2
_cell_length_a 3.532
_cell_length_b 5.643
_cell_length_c 10.011
_cell_angle_alpha 90.00
_cell_angle_beta 90.00
_cell_angle_gamma 90.00
_symmetry_space_group_name_H-M 'I m m m'
_symmetry_Int_Tables_number 71
_symmetry_space_group_name_Hall '-I 2 2'
loop_
_atom_site_label
_atom_site_fract_x
_atom_site_fract_y
_atom_site_fract_z
_atom_site_occupancy
Ca1 0.000 0.000 0.000 1
Ru1 0.000 0.000 0.500 1
Pb1 0.000 0.500 0.214 1
# E_tot = -37.051 eV per cell
# calculated volume = 199.5 Å³/cell


# 7
# CaRuPb2 (PBE, optimized geometry)
data_CaRuPb2
_cell_length_a 3.561
_cell_length_b 4.649
_cell_length_c 6.065
_cell_angle_alpha 90.00
_cell_angle_beta 101.51
_cell_angle_gamma 90.00
_symmetry_space_group_name_H-M 'P 1 2/m 1'
_symmetry_Int_Tables_number 10
loop_
_symmetry_equiv_pos_as_xyz
'x,y,z'
'-x,-y,-z'
'-x,y,-z'
'x,-y,z'
loop_
_atom_site_label
_atom_site_fract_x
_atom_site_fract_y
_atom_site_fract_z
_atom_site_occupancy
Ca1 0.000 0.000 0.000 1
Ru1 0.500 0.000 0.500 1
Pb1 0.347 0.500 0.726 1
# E_tot = -18.198 eV per cell
# calculated volume = 98.4 Å³/cell


# 8
# Ca3RuPb (PBE, optimized geometry)
data_Ca3RuPb
_cell_length_a 5.429
_cell_length_b 5.429
_cell_length_c 5.429
_cell_angle_alpha 90.00
_cell_angle_beta 90.00
_cell_angle_gamma 90.00
_symmetry_space_group_name_H-M 'P m -3 m'
_symmetry_Int_Tables_number 221
_symmetry_space_group_name_Hall '-P 4 2 3'
loop_
_atom_site_label
_atom_site_fract_x
_atom_site_fract_y
_atom_site_fract_z
_atom_site_occupancy
Ca1 0.000 0.000 0.500 1
Ru1 0.000 0.000 0.000 1
Pb1 0.500 0.500 0.500 1
# E_tot = -18.470 eV per cell
# calculated volume = 160.0 Å³/cell
# offset from the most stable computed form = 0 meV per atom


# 9
# CaRuPb2 (PBE, optimized geometry)
data_CaRuPb2
_cell_length_a 7.291
_cell_length_b 7.291
_cell_length_c 7.291
_cell_angle_alpha 90.00
_cell_angle_beta 90.00
_cell_angle_gamma 90.00
_symmetry_space_group_name_H-M 'F -4 3 m'
_symmetry_Int_Tables_number 216
_symmetry_space_group_name_Hall 'F -4 2 3'
loop_
_atom_site_label
_atom_site_fract_x
_atom_site_fract_y
_atom_site_fract_z
_atom_site_occupancy
Ca1 0.000 0.000 0.000 1
Ru1 0.250 0.250 0.250 1
Pb1 0.000 0.000 0.500 1
Pb2 0.250 0.250 0.750 1
# E_tot = -70.321 eV per cell
# calculated volume = 387.6 Å³/cell


# 10
# CaRuPb2 (PBE, optimized geometry)
data_CaRuPb2
_cell_length_a 7.103
_cell_length_b 7.103
_cell_length_c 7.103
_cell_angle_alpha 90.00
_cell_angle_beta 90.00
_cell_angle_gamma 90.00
_symmetry_space_group_name_H-M 'F m -3 m'
_symmetry_Int_Tables_number 225
_symmetry_space_group_name_Hall '-F 4 2 3'
loop_
_atom_site_label
_atom_site_fract_x
_atom_site_fract_y
_atom_site_fract_z
_atom_site_occupancy
Ca1 0.000 0.000 0.000 1
Ru1 0.000 0.000 0.500 1
Pb1 0.250 0.250 0.250 1
# E_tot = -73.863 eV per cell
# calculated volume = 358.4 Å³/cell


# 11
# CaSbRuPb2 (PBE, optimized geometry)
data_CaSbRuPb2
_cell_length_a 5.216
_cell_length_b 5.216
_cell_length_c 5.474
_cell_angle_alpha 90.00
_cell_angle_beta 90.00
_cell_angle_gamma 90.00
_symmetry_space_group_name_H-M 'P 4/m m m'
_symmetry_Int_Tables_number 123
_symmetry_space_group_name_Hall '-P 4 2'
loop_
_atom_site_label
_atom_site_fract_x
_atom_site_fract_y
_atom_site_fract_z
_atom_site_occupancy
Ca1 0.000 0.000 0.000 1
Sb1 0.500 0.500 0.000 1
Ru1 0.000 0.000 0.500 1
Pb1 0.000 0.500 0.500 1
# E_tot = -22.617 eV per cell
# calculated volume = 148.9 Å³/cell
# uncorrected formation energy = 0.04 eV/atom


# 12
# CaScRu2Pb (PBE, optimized geometry)
data_CaScRu2Pb
_cell_length_a 5.038
_cell_length_b 5.038
_cell_length_c 5.294
_cell_angle_alpha 90.00
_cell_angle_beta 90.00
_cell_angle_gamma 90.00
_symmetry_space_group_name_H-M 'P 4/m m m'
_symmetry_Int_Tables_number 123
_symmetry_space_group_name_Hall '-P 4 2'
loop_
_atom_site_label
_atom_site_fract_x
_atom_site_fract_y
_atom_site_fract_z
_atom_site_occupancy
Ca1 0.000 0.000 0.000 1
Sc1 0.500 0.500 0.000 1
Ru1 0.000 0.500 0.500 1
Pb1 0.000 0.000 0.500 1
# E_tot = -24.460 eV per cell
# calculated volume = 134.4 Å³/cell